(1)
First-principles (PBE-GGA) data for a relaxed structure of TcW2Cl, as listed in Alexandria via LeMat-Bulk.

Unit cell a=5.2765 b=5.2765 c=5.2765 alpha=147.81 beta=129.03 gamma=61.57
With the nearest neighbours (Å) after each atom.
Fractional coordinates of all 4 atoms:
1 Tc 0.0000 0.0000 0.0000  2 Cl 2.57, 6 W 2.73-2.76
2 W 0.2576 0.7576 0.5000  4 Cl 2.70, 2 Tc 2.76, 6 W 2.93-2.99
3 W 0.5421 0.5421 0.0000  2 Cl 2.51, 4 Tc 2.73
4 Cl 0.7667 0.2667 0.5000  6 W 2.51-2.70, 2 Tc 2.57

electronic total energy: -35.2 eV/cell
distance to the lowest polymorph of the same formula: 0.3540 eV per atom
formation energy (no corrections): 718 meV/atom



(2)
First-principles (PBE-GGA) data for a relaxed structure of BaSrCu2H6, as listed in Alexandria via LeMat-Bulk.

Unit cell a=6.8908 b=6.8908 c=7.1226 alpha=103.67 beta=103.67 gamma=98.53
With the nearest neighbours (Å) after each atom.
Fractional coordinates of all 20 atoms:
1 Ba 0.1487 0.8513 0.7500  8 H 2.78-2.96
2 Ba 0.8513 0.1487 0.2500  8 H 2.78-2.96
3 Sr 0.3988 0.6012 0.2500  8 H 2.43-2.72
4 Sr 0.6012 0.3988 0.7500  8 H 2.43-2.72
5 Cu 0.1379 0.3609 0.7258  3 H 1.58-1.62
6 Cu 0.3609 0.1379 0.2258  3 H 1.58-1.62
7 Cu 0.6391 0.8621 0.7742  3 H 1.58-1.62
8 Cu 0.8621 0.6391 0.2742  3 H 1.58-1.62
9 H 0.0854 0.6032 0.3518  1 Cu 1.58
10 H 0.1783 0.2101 0.0888  1 Cu 1.62
11 H 0.2101 0.1783 0.5888  1 Cu 1.62
12 H 0.3160 0.5396 0.8872  1 Cu 1.60
13 H 0.3968 0.9146 0.1482  1 Cu 1.58
14 H 0.4604 0.6840 0.6128  1 Cu 1.60
15 H 0.5396 0.3160 0.3872  1 Cu 1.60
16 H 0.6032 0.0854 0.8518  1 Cu 1.58
17 H 0.6840 0.4604 0.1128  1 Cu 1.60
18 H 0.7899 0.8217 0.4112  1 Cu 1.62
19 H 0.8217 0.7899 0.9112  1 Cu 1.62
20 H 0.9146 0.3968 0.6482  1 Cu 1.58

electronic total energy: -69.5 eV/cell



(3)
First-principles (PBE-GGA) data for a relaxed structure of ThAsPdAu, as listed in Alexandria via LeMat-Bulk.

Unit cell a=4.9315 b=4.9315 c=4.9315 alpha=60.00 beta=60.00 gamma=60.00
With the nearest neighbours (Å) after each atom.
Fractional coordinates of all 4 atoms:
1 Th 0.0000 0.0000 0.0000  4 As 3.02, 4 Au 3.02
2 As 0.7500 0.7500 0.7500  4 Pd 3.02, 4 Th 3.02
3 Pd 0.5000 0.5000 0.5000  4 As 3.02, 4 Au 3.02
4 Au 0.2500 0.2500 0.2500  4 Pd 3.02, 4 Th 3.02

electronic total energy: -23.3 eV/cell
formation energy from the elements: -269 kJ/mol of formula units